Compound: AgB3Pd
Source: the Alexandria database
Functional: PBE
Structure: optimized geometry

Cell lengths 4.126, 4.126, 4.126 Å; angles 90.00, 90.00, 90.00 degrees
Fractional positions:
Ag  0.000  0.000  0.000
B  0.000  0.000  0.500
B  0.000  0.500  0.000
B  0.500  0.000  0.000
Pd  0.500  0.500  0.500

## Properties
electronic total energy: -3.5991 eV/atom
crystal system: cubic

=====

Compound: Y2PuPaN4
Source: the Alexandria database
Functional: PBE
Structure: optimized geometry

Cell lengths 6.035, 3.500, 6.042 Å; angles 90.00, 109.58, 90.00 degrees
Fractional positions:
Y  0.000  0.000  0.000
Y  0.500  0.500  0.000
Pu  0.000  0.500  0.500
Pa  0.500  0.000  0.500
N  0.255  0.000  0.740
N  0.261  0.500  0.258
N  0.739  0.500  0.742
N  0.745  0.000  0.260

## Properties
electronic total energy: -10.3338 eV/atom
crystal system: monoclinic
raw formation energy: -1576.6 meV/atom

=====

Compound: TcRh2
Source: the Alexandria database
Functional: PBE
Structure: optimized geometry

Cell lengths 4.721, 2.728, 6.844 Å; angles 90.00, 103.63, 90.00 degrees
Fractional positions:
Tc  0.000  0.000  0.000
Tc  0.500  0.500  0.000
Rh  0.224  0.000  0.673
Rh  0.276  0.500  0.327
Rh  0.724  0.500  0.673
Rh  0.776  0.000  0.327

## Properties
electronic total energy: -8.4260 eV/atom
crystal system: monoclinic

=====

Compound: NaZn3Ge
Source: the Alexandria database
Functional: PBE
Structure: optimized geometry

Cell lengths 4.982, 4.982, 4.982 Å; angles 90.00, 90.00, 90.00 degrees
Fractional positions:
Na  0.000  0.000  0.000
Zn  0.000  0.500  0.500
Zn  0.500  0.000  0.500
Zn  0.500  0.500  0.000
Ge  0.500  0.500  0.500

## Properties
electronic total energy: -1.6501 eV/atom
crystal system: cubic

=====

Compound: Pm4AlPb
Source: the Alexandria database
Functional: PBE
Structure: optimized geometry

Cell lengths 5.254, 5.254, 7.410 Å; angles 90.00, 90.00, 90.00 degrees
Fractional positions:
Pm  0.000  0.500  0.233
Pm  0.000  0.500  0.767
Pm  0.500  0.000  0.233
Pm  0.500  0.000  0.767
Al  0.000  0.000  0.000
Pb  0.500  0.500  0.500

## Properties
electronic total energy: -4.5642 eV/atom
crystal system: tetragonal

=====

Compound: Cs3H4Br
Source: the Alexandria database
Functional: PBE
Structure: optimized geometry

Cell lengths 25.114, 4.965, 5.328 Å; angles 90.00, 100.70, 90.00 degrees
Fractional positions:
Cs  0.000  0.000  0.000
Cs  0.175  0.000  0.685
Cs  0.325  0.500  0.315
Cs  0.500  0.500  0.000
Cs  0.675  0.500  0.685
Cs  0.825  0.000  0.315
H  0.081  0.500  0.938
H  0.101  0.500  0.064
H  0.399  0.000  0.936
H  0.419  0.000  0.062
H  0.581  0.000  0.938
H  0.601  0.000  0.064
H  0.899  0.500  0.936
H  0.919  0.500  0.062
Br  0.000  0.500  0.500
Br  0.500  0.000  0.500

## Properties
electronic total energy: -2.5929 eV/atom
crystal system: monoclinic

=====

> Look up the electronic total energy of the first one.

-3.5991 eV/atom